Entry i
Below is a relaxed structure of Pm5Y3Er3, with properties calculated at the PBE level.

Geometry as POSCAR:
```
Pm5Y3Er3
1.0
3.586 0.326 0.573
0.010 9.037 -5.205
1.799 0.638 11.563
Pm Y Er
5 3 3
Direct
0.676 0.591 0.324 Pm
0.324 0.266 0.676 Pm
0.500 0.364 0.000 Pm
0.316 0.683 0.684 Pm
0.684 0.999 0.316 Pm
0.001 0.643 0.999 Y
0.952 0.909 0.548 Y
0.048 0.361 0.452 Y
0.500 0.914 0.000 Er
0.832 0.219 0.168 Er
0.168 0.051 0.832 Er
```

Results
**Magnetic moment**: 0.00 Bohr magnetons per cell
**V**: 34.0 A^3/atom

=====

Entry ii
Below is a relaxed structure of Pm5Y3Er3, with properties calculated at the PBE level.

Geometry as POSCAR:
```
Pm5Y3Er3
1.0
-4.017 -2.184 -3.252
6.229 -6.771 -3.147
-5.452 -1.692 7.872
Pm Y Er
5 3 3
Direct
0.500 0.333 0.667 Pm
0.500 0.667 0.333 Pm
0.500 0.272 0.272 Pm
0.500 0.000 0.728 Pm
0.500 0.728 0.000 Pm
0.000 0.462 0.462 Y
0.000 0.538 0.000 Y
0.000 0.000 0.538 Y
0.500 0.634 0.634 Er
0.500 0.000 0.366 Er
0.500 0.366 0.000 Er
```

Results
**Magnetic moment**: 0.02 Bohr magnetons per cell
**V**: 41.8 A^3/atom

=====

Verdict on stability: entry ii comes out at the bottom.

=====

Entry i
Below is a relaxed structure of Pm3Y6Er, with properties calculated at the PBE level.

Geometry as POSCAR:
```
Pm3Y6Er
1.0
-6.829 7.195 -0.495
-9.304 -1.770 2.991
-4.437 2.949 4.433
Pm Y Er
3 6 1
Direct
0.349 0.349 0.953 Pm
0.599 0.599 0.203 Pm
0.100 0.100 0.700 Pm
0.927 0.604 0.198 Y
0.271 0.927 0.198 Y
0.604 0.271 0.198 Y
0.098 0.430 0.700 Y
0.773 0.098 0.700 Y
0.430 0.773 0.700 Y
0.849 0.849 0.452 Er
```

Results
**Magnetic moment**: 0.00 Bohr magnetons per cell
**V**: 33.3 A^3/atom

=====

Entry ii
Below is a relaxed structure of Pm3Y6Er, with properties calculated at the PBE level.

Geometry as POSCAR:
```
Pm3Y6Er
1.0
-0.345 -3.361 5.457
-7.605 -6.440 -4.447
10.553 -2.614 -0.942
Pm Y Er
6 12 2
Direct
0.460 0.937 0.709 Pm
0.960 0.709 0.937 Pm
0.069 0.387 0.613 Pm
0.569 0.613 0.387 Pm
0.960 0.063 0.291 Pm
0.460 0.291 0.063 Pm
0.051 0.712 0.623 Y
0.551 0.623 0.712 Y
0.369 0.529 0.946 Y
0.869 0.946 0.529 Y
0.365 0.960 0.040 Y
0.656 0.269 0.731 Y
0.156 0.731 0.269 Y
0.865 0.040 0.960 Y
0.369 0.054 0.471 Y
0.869 0.471 0.054 Y
0.051 0.377 0.288 Y
0.551 0.288 0.377 Y
0.136 0.195 0.805 Er
0.636 0.805 0.195 Er
```

Results
**Magnetic moment**: 0.00 Bohr magnetons per cell
**V**: 33.2 A^3/atom

=====

Verdict on stability: entry i comes out at the bottom.

=====

Entry i
Below is a relaxed structure of Pm6YEr, with properties calculated at the PBE level.

Geometry as POSCAR:
```
Pm6YEr
1.0
6.442 -0.199 2.383
0.464 6.550 -0.561
1.054 -0.846 6.882
Pm Y Er
6 1 1
Direct
0.098 0.729 0.469 Pm
0.571 0.767 0.525 Pm
0.429 0.233 0.475 Pm
0.902 0.271 0.531 Pm
0.553 0.749 0.999 Pm
0.447 0.251 0.001 Pm
0.000 0.000 0.000 Y
0.000 0.500 0.000 Er
```

Results
**Magnetic moment**: 0.01 Bohr magnetons per cell
**V**: 33.8 A^3/atom

=====

Entry ii
Below is a relaxed structure of Pm6YEr, with properties calculated at the PBE level.

Geometry as POSCAR:
```
Pm6YEr
1.0
5.123 0.000 0.000
0.000 5.123 0.000
0.000 0.000 10.247
Pm Y Er
6 1 1
Direct
0.500 0.500 0.000 Pm
0.500 0.500 0.500 Pm
0.500 0.000 0.251 Pm
0.500 0.000 0.749 Pm
0.000 0.500 0.251 Pm
0.000 0.500 0.749 Pm
0.000 0.000 0.000 Y
0.000 0.000 0.500 Er
```

Results
**Magnetic moment**: 0.00 Bohr magnetons per cell
**V**: 33.6 A^3/atom

=====

Verdict on stability: entry i comes out at the bottom.

=====

Entry i
Below is a relaxed structure of Pm6YEr12, with properties calculated at the PBE level.

Geometry as POSCAR:
```
Pm6YEr12
1.0
8.605 -0.150 -1.180
-1.333 8.503 -1.180
-0.130 -0.150 8.685
Pm Y Er
6 1 12
Direct
0.902 0.344 0.902 Pm
0.902 0.902 0.344 Pm
0.344 0.902 0.902 Pm
0.098 0.098 0.656 Pm
0.098 0.656 0.098 Pm
0.656 0.098 0.098 Pm
0.000 0.000 0.000 Y
0.757 0.243 0.500 Er
0.355 0.082 0.355 Er
0.355 0.355 0.082 Er
0.918 0.645 0.645 Er
0.645 0.645 0.918 Er
0.645 0.918 0.645 Er
0.500 0.757 0.243 Er
0.243 0.500 0.757 Er
0.243 0.757 0.500 Er
0.500 0.243 0.757 Er
0.757 0.500 0.243 Er
0.082 0.355 0.355 Er
```

Results
**Magnetic moment**: 0.00 Bohr magnetons per cell
**V**: 33.2 A^3/atom

=====

Entry ii
Below is a relaxed structure of Pm6YEr12, with properties calculated at the PBE level.

Geometry as POSCAR:
```
Pm6YEr12
1.0
-5.320 6.161 -2.838
-5.542 0.400 6.591
3.143 6.817 4.239
Pm Y Er
6 1 12
Direct
0.767 0.767 0.165 Pm
0.835 0.233 0.233 Pm
0.233 0.835 0.233 Pm
0.233 0.233 0.835 Pm
0.165 0.767 0.767 Pm
0.767 0.165 0.767 Pm
0.000 0.000 0.000 Y
0.804 0.486 0.486 Er
0.486 0.804 0.486 Er
0.486 0.486 0.804 Er
0.196 0.514 0.514 Er
0.514 0.196 0.514 Er
0.514 0.514 0.196 Er
0.137 0.137 0.485 Er
0.863 0.515 0.863 Er
0.515 0.863 0.863 Er
0.863 0.863 0.515 Er
0.137 0.485 0.137 Er
0.485 0.137 0.137 Er
```

Results
**Magnetic moment**: 0.00 Bohr magnetons per cell
**V**: 32.3 A^3/atom

=====

Verdict on stability: entry i comes out at the bottom.